Computed, not measured: a geometry-optimized MnN2O2 structure at the PBE+U level of DFT.

Structure (POSCAR):
```
MnN2O2
1.0
-3.276 -0.801 1.218
-0.087 -2.883 -2.130
1.457 -1.979 2.618
O N Mn
2 2 1
direct
0.000 0.000 0.000
0.000 0.000 0.500
0.500 0.000 0.000
0.000 0.500 0.000
0.500 0.500 0.500
```

Computed properties:
Energy relative to the lowest polymorph listed for this composition: 273.9 kJ/mol of atoms
DFT total energy: -0.345 Ry/atom